Compound: Ho3ZrIn
Source: the Alexandria database
Functional: PBE-GGA
Structure: relaxed

Results
symmetry	No. 12
formation energy from the elements	0.0432	eV per atom

a = 3.331 Å, b = 8.705 Å, c = 10.599 Å
α = 73.19°, β = 90.00°, γ = 101.03°
Fractional positions:
1 Ho 0.004 0.009 0.270
2 Ho 0.996 0.991 0.730
3 Ho 0.691 0.382 0.138
4 Ho 0.309 0.618 0.862
5 Ho 0.804 0.608 0.362
6 Ho 0.196 0.392 0.638
7 Zr 0.405 0.809 0.537
8 Zr 0.595 0.191 0.463
9 In 0.099 0.198 0.950
10 In 0.901 0.802 0.050